[1]
## SrSc2Re (PBE-GGA)

Data for a relaxed SrSc2Re crystal.

Unit cell a=10.8115 b=10.8115 c=10.8115 alpha=17.71 beta=17.71 gamma=17.71
With the nearest neighbours (Å) after each atom.
Positions (direct):
1 Sc 0.8936 0.8936 0.8936  3 Re 2.72
2 Sc 0.1064 0.1064 0.1064  3 Re 2.72
3 Re 0.5000 0.5000 0.5000  6 Sc 2.72
4 Sr 0.0000 0.0000 0.0000  6 Sr 3.33, 2 Sc 3.40

Output
Its distance to the lowest polymorph of the same formula is 297 meV per atom. The calculation puts the volume at 102.0 Å³/cell. For the total magnetization, the calculation gives 0.000 μB per atom. As for the density of states at the Fermi level: 1.53 states/eV/atom. The value obtained for the formation energy is 1.6 eV/f.u.

***

[2]
## Sr2ScRe (PBE-GGA)

Data for a relaxed Sr2ScRe crystal.

Unit cell a=3.3638 b=3.3638 c=10.3706 alpha=90.00 beta=90.00 gamma=90.00
With the nearest neighbours (Å) after each atom.
Positions (direct):
1 Re 0.5000 0.5000 0.2500  8 Sr 3.19, 4 Re 3.36
2 Sc 0.5000 0.5000 0.7500  4 Sc 3.36
3 Sr 0.0000 0.0000 0.4546  4 Re 3.19, 4 Sr 3.36
4 Sr 0.0000 0.0000 0.0454  4 Re 3.19, 4 Sr 3.36

Output
Its distance to the lowest polymorph of the same formula is 561 meV per atom. The calculation puts the volume at 117.3 Å³/cell. For the total magnetization, the calculation gives 0.647 μB per atom. As for the density of states at the Fermi level: 1.16 states/eV/atom. The value obtained for the formation energy is 3.9 eV/f.u.

***

[3]
## Sr2ScRe (PBE-GGA)

Data for a relaxed Sr2ScRe crystal.

Unit cell a=11.4902 b=11.4902 c=8.4776 alpha=47.34 beta=47.34 gamma=90.00
With the nearest neighbours (Å) after each atom.
Positions (direct):
1 Sc 0.5000 0.5000 0.0000  2 Re 2.42
2 Sc 0.2500 0.7500 0.5000  2 Re 2.42
3 Re 0.0000 0.0000 0.0000  2 Sc 2.42
4 Re 0.7500 0.2500 0.5000  2 Sc 2.42
5 Sr 0.7884 0.1250 0.2500  2 Re 3.10
6 Sr 0.9616 0.6250 0.2500  2 Re 3.10
7 Sr 0.3750 0.2116 0.7500  2 Re 3.10
8 Sr 0.8750 0.0384 0.7500  2 Re 3.10

Output
Its distance to the lowest polymorph of the same formula is 423 meV per atom. The calculation puts the volume at 319.5 Å³/cell. For the total magnetization, the calculation gives 0.000 μB per atom. As for the density of states at the Fermi level: 0.78 states/eV/atom. The value obtained for the formation energy is 3.3 eV/f.u.

***

[4]
## SrScRe3 (PBE-GGA)

Data for a relaxed SrScRe3 crystal.

Unit cell a=4.8115 b=4.8115 c=4.8115 alpha=90.00 beta=90.00 gamma=90.00
With the nearest neighbours (Å) after each atom.
Positions (direct):
1 Sc 0.0000 0.0000 0.0000  6 Re 2.41
2 Re 0.0000 0.5000 0.0000  2 Sc 2.41
3 Re 0.0000 0.0000 0.5000  2 Sc 2.41
4 Re 0.5000 0.0000 0.0000  2 Sc 2.41
5 Sr 0.5000 0.5000 0.5000  12 Re 3.40

Output
Its distance to the lowest polymorph of the same formula is 0 meV per atom. The calculation puts the volume at 111.4 Å³/cell. For the total magnetization, the calculation gives 0.479 μB per atom. As for the density of states at the Fermi level: 1.20 states/eV/atom. The value obtained for the formation energy is 10.1 eV/f.u.

***

Q: Which formula does entry 1 have?
A: SrSc2Re

***

Q: The highest volume belongs to which entry?
A: number 3